First-principles (PBE-GGA) data for RbNa2InGa after structural relaxation, as listed in the Alexandria database.

As for the energy relative to the lowest polymorph listed for this composition: 0 meV per atom. The formation energy comes out at 13 meV per atom. The calculation puts the size of the total moment at 0.0 μB per cell. The calculation puts the electronic total energy at -1.861 eV per atom.

The structure belongs to space group P4/mmm (No. 123); the cell edges are 5.9443, 5.9443 and 5.2869 Å and the angles 90.00°, 90.00° and 90.00°. The inequivalent atoms are Rb at (0.0000, 0.0000, 0.0000), Na at (0.0000, 0.5000, 0.5000), In at (0.5000, 0.5000, 0.0000) and Ga at (0.5000, 0.5000, 0.5000).